{"formula": "K2ErNiF6", "functional": "PBE+U", "state": "optimized geometry", "lattice_angstrom": [[5.948, 0.000, 0.000], [0.000, 5.958, 0.000], [0.000, 0.000, 9.719]], "species": ["K", "K", "K", "K", "Er", "Er", "Ni", "Ni", "F", "F", "F", "F", "F", "F", "F", "F", "F", "F", "F", "F"], "fractional_positions": [[0.500, 0.751, 0.249], [0.000, 0.249, 0.749], [0.500, 0.751, 0.751], [0.000, 0.249, 0.251], [0.000, 0.744, 0.500], [0.500, 0.256, 0.000], [0.500, 0.244, 0.500], [0.000, 0.756, 0.000], [0.500, 0.254, 0.221], [0.500, 0.254, 0.779], [0.000, 0.746, 0.279], [0.000, 0.746, 0.721], [0.255, 0.998, 0.500], [0.745, 0.998, 0.500], [0.253, 0.488, 0.500], [0.747, 0.488, 0.500], [0.753, 0.512, 0.000], [0.247, 0.512, 0.000], [0.245, 0.002, 0.000], [0.755, 0.002, 0.000]], "spacegroup": "Pmmn, No. 59", "total_magnetization_mub_per_fu": 1.0, "dft_energy_ev_per_cell": -100.3}